Er5AgSe8: optimized geometry, PBE.

Formation energy without anion corrections: -23.00 eV per formula unit
Calculated density: 6.42 g/cm3
Crystal system: cubic
M_tot: 0.00 μB/f.u.

abc: 8.323 8.323 8.323
angles: 60.00 60.00 60.00
Fractional positions:
Er (0.000, 0.000, 0.000)
Er (0.140, 0.620, 0.620)
Er (0.620, 0.140, 0.620)
Er (0.620, 0.620, 0.140)
Er (0.620, 0.620, 0.620)
Ag (0.250, 0.250, 0.250)
Se (0.382, 0.382, 0.382)
Se (0.382, 0.382, 0.854)
Se (0.382, 0.854, 0.382)
Se (0.400, 0.867, 0.867)
Se (0.854, 0.382, 0.382)
Se (0.867, 0.400, 0.867)
Se (0.867, 0.867, 0.400)
Se (0.867, 0.867, 0.867)

***

Er5AgSe4: optimized geometry, PBE.

Formation energy without anion corrections: -14.03 eV per formula unit
Calculated density: 8.75 g/cm3
Crystal system: monoclinic
M_tot: 0.00 μB/f.u.

abc: 7.145 7.145 10.094
angles: 118.93 118.93 32.48
Fractional positions:
Er (0.000, 0.000, 0.000)
Er (0.198, 0.198, 0.798)
Er (0.399, 0.399, 0.602)
Er (0.601, 0.601, 0.398)
Er (0.802, 0.802, 0.202)
Ag (0.000, 0.000, 0.500)
Se (0.199, 0.199, 0.297)
Se (0.397, 0.397, 0.093)
Se (0.603, 0.603, 0.907)
Se (0.801, 0.801, 0.703)

***

Er2AgSe: optimized geometry, PBE.

Formation energy without anion corrections: -1.73 eV per formula unit
Calculated density: 7.82 g/cm3
Crystal system: trigonal
M_tot: 0.00 μB/f.u.
Distance to the lowest polymorph of the same formula: 420 meV per atom

abc: 9.792 9.792 9.792
angles: 21.52 21.52 21.52
Fractional positions:
Er (0.102, 0.102, 0.102)
Er (0.898, 0.898, 0.898)
Ag (0.000, 0.000, 0.000)
Se (0.500, 0.500, 0.500)

***

ErAg2Se2: optimized geometry, PBE.

Formation energy without anion corrections: -3.23 eV per formula unit
Calculated density: 7.93 g/cm3
Crystal system: monoclinic
M_tot: 0.00 μB/f.u.

abc: 5.572 5.572 8.215
angles: 108.73 108.73 77.01
Fractional positions:
Er (0.154, 0.846, 0.750)
Er (0.846, 0.154, 0.250)
Ag (0.000, 0.500, 0.000)
Ag (0.500, 0.000, 0.500)
Ag (0.500, 0.500, 0.000)
Ag (0.500, 0.500, 0.500)
Se (0.116, 0.292, 0.635)
Se (0.292, 0.116, 0.135)
Se (0.708, 0.884, 0.865)
Se (0.884, 0.708, 0.365)

***

Er2AgSe3: optimized geometry, PBE.

Formation energy without anion corrections: -7.03 eV per formula unit
Calculated density: 7.19 g/cm3
Crystal system: orthorhombic
M_tot: 0.00 μB/f.u.

abc: 7.395 7.395 4.067
angles: 90.00 90.00 135.14
Fractional positions:
Er (0.145, 0.855, 0.000)
Er (0.855, 0.145, 0.000)
Ag (0.500, 0.500, 0.500)
Se (0.000, 0.000, 0.500)
Se (0.347, 0.653, 0.000)
Se (0.653, 0.347, 0.000)

***

ErAg2Se3: optimized geometry, PBE.

Formation energy without anion corrections: -3.23 eV per formula unit
Calculated density: 7.08 g/cm3
Crystal system: orthorhombic
M_tot: 0.00 μB/f.u.

abc: 7.784 7.784 5.255
angles: 90.00 90.00 114.06
Fractional positions:
Er (0.241, 0.759, 0.750)
Er (0.759, 0.241, 0.250)
Ag (0.283, 0.283, 0.000)
Ag (0.283, 0.283, 0.500)
Ag (0.717, 0.717, 0.000)
Ag (0.717, 0.717, 0.500)
Se (0.027, 0.360, 0.750)
Se (0.360, 0.027, 0.250)
Se (0.369, 0.631, 0.250)
Se (0.631, 0.369, 0.750)
Se (0.640, 0.973, 0.750)
Se (0.973, 0.640, 0.250)

***

Er4AgSe3: optimized geometry, PBE.

Formation energy without anion corrections: -10.55 eV per formula unit
Calculated density: 8.77 g/cm3
Crystal system: orthorhombic
M_tot: 0.00 μB/f.u.

abc: 7.142 7.142 3.961
angles: 90.00 90.00 108.11
Fractional positions:
Er (0.250, 0.250, 0.500)
Er (0.250, 0.750, 0.000)
Er (0.750, 0.250, 0.000)
Er (0.750, 0.750, 0.500)
Ag (0.000, 0.000, 0.000)
Se (0.000, 0.500, 0.500)
Se (0.500, 0.000, 0.500)
Se (0.500, 0.500, 0.000)

***

ErAg2Sn3Se6: optimized geometry, PBE.

Formation energy without anion corrections: -7.24 eV per formula unit
Calculated density: 6.62 g/cm3
Crystal system: monoclinic
M_tot: 0.00 μB/f.u.

abc: 7.174 7.174 7.236
angles: 99.40 99.40 120.15
Fractional positions:
Er (0.000, 0.000, 0.000)
Ag (0.329, 0.671, 0.000)
Ag (0.671, 0.329, 0.000)
Sn (0.162, 0.838, 0.500)
Sn (0.500, 0.500, 0.500)
Sn (0.838, 0.162, 0.500)
Se (0.081, 0.407, 0.236)
Se (0.246, 0.246, 0.757)
Se (0.407, 0.081, 0.236)
Se (0.593, 0.919, 0.764)
Se (0.754, 0.754, 0.243)
Se (0.919, 0.593, 0.764)

***

Sr4Er3AgSe8: optimized geometry, PBE.

Formation energy without anion corrections: -27.57 eV per formula unit
Calculated density: 6.13 g/cm3
Crystal system: trigonal
M_tot: 0.00 μB/f.u.

abc: 8.496 8.496 8.496
angles: 59.75 59.75 59.75
Fractional positions:
Sr (0.000, 0.000, 0.000)
Sr (0.000, 0.500, 0.500)
Sr (0.500, 0.000, 0.500)
Sr (0.500, 0.500, 0.000)
Er (0.000, 0.000, 0.500)
Er (0.000, 0.500, 0.000)
Er (0.500, 0.000, 0.000)
Ag (0.500, 0.500, 0.500)
Se (0.236, 0.745, 0.745)
Se (0.242, 0.242, 0.242)
Se (0.255, 0.255, 0.764)
Se (0.255, 0.764, 0.255)
Se (0.745, 0.236, 0.745)
Se (0.745, 0.745, 0.236)
Se (0.758, 0.758, 0.758)
Se (0.764, 0.255, 0.255)

***

SrErAgSe3: optimized geometry, PBE.

Formation energy without anion corrections: -9.07 eV per formula unit
Calculated density: 6.28 g/cm3
Crystal system: monoclinic
M_tot: 0.00 μB/f.u.

abc: 8.418 4.166 9.346
angles: 90.00 104.54 90.00
Fractional positions:
Sr (0.201, 0.250, 0.246)
Sr (0.799, 0.750, 0.754)
Er (0.323, 0.750, 0.836)
Er (0.677, 0.250, 0.164)
Ag (0.091, 0.250, 0.588)
Ag (0.909, 0.750, 0.412)
Se (0.099, 0.250, 0.873)
Se (0.264, 0.750, 0.520)
Se (0.439, 0.750, 0.153)
Se (0.561, 0.250, 0.847)
Se (0.736, 0.250, 0.480)
Se (0.901, 0.750, 0.127)

***

Tb2ErAg3Se6: optimized geometry, PBE.

Formation energy without anion corrections: -13.98 eV per formula unit
Calculated density: 7.26 g/cm3
Crystal system: monoclinic
M_tot: 0.00 μB/f.u.

abc: 9.060 9.060 8.090
angles: 100.02 100.02 26.66
Fractional positions:
Tb (0.167, 0.167, 0.329)
Tb (0.833, 0.833, 0.671)
Er (0.500, 0.500, 0.000)
Ag (0.170, 0.170, 0.824)
Ag (0.500, 0.500, 0.500)
Ag (0.830, 0.830, 0.176)
Se (0.000, 0.000, 0.243)
Se (0.000, 0.000, 0.757)
Se (0.334, 0.334, 0.423)
Se (0.335, 0.335, 0.919)
Se (0.665, 0.665, 0.081)
Se (0.666, 0.666, 0.577)

***

TbEr2Ag3Se6: optimized geometry, PBE.

Formation energy without anion corrections: -13.94 eV per formula unit
Calculated density: 7.36 g/cm3
Crystal system: monoclinic
M_tot: 0.00 μB/f.u.

abc: 9.074 9.074 8.070
angles: 100.38 100.38 26.49
Fractional positions:
Tb (0.000, 0.000, 0.000)
Er (0.333, 0.333, 0.664)
Er (0.667, 0.667, 0.336)
Ag (0.000, 0.000, 0.500)
Ag (0.335, 0.335, 0.162)
Ag (0.665, 0.665, 0.838)
Se (0.167, 0.167, 0.091)
Se (0.169, 0.169, 0.581)
Se (0.498, 0.498, 0.750)
Se (0.502, 0.502, 0.250)
Se (0.831, 0.831, 0.419)
Se (0.833, 0.833, 0.909)

***

ErAg2TeSe4: optimized geometry, PBE.

Formation energy without anion corrections: -4.39 eV per formula unit
Calculated density: 6.93 g/cm3
Crystal system: monoclinic
M_tot: 0.00 μB/f.u.

abc: 8.172 8.172 8.120
angles: 119.50 119.50 87.57
Fractional positions:
Er (0.000, 0.000, 0.000)
Er (0.000, 0.000, 0.500)
Ag (0.000, 0.500, 0.000)
Ag (0.500, 0.000, 0.500)
Ag (0.500, 0.500, 0.000)
Ag (0.500, 0.500, 0.500)
Te (0.000, 0.500, 0.500)
Te (0.500, 0.000, 0.000)
Se (0.221, 0.710, 0.456)
Se (0.234, 0.236, 0.984)
Se (0.236, 0.234, 0.484)
Se (0.290, 0.779, 0.044)
Se (0.710, 0.221, 0.956)
Se (0.764, 0.766, 0.516)
Se (0.766, 0.764, 0.016)
Se (0.779, 0.290, 0.544)

***

ErAgTeSe: optimized geometry, PBE.

Formation energy without anion corrections: -4.11 eV per formula unit
Calculated density: 7.36 g/cm3
Crystal system: trigonal
M_tot: 0.00 μB/f.u.

abc: 12.152 12.152 12.152
angles: 21.83 21.83 21.83
Fractional positions:
Er (0.113, 0.113, 0.113)
Er (0.887, 0.887, 0.887)
Ag (0.311, 0.311, 0.311)
Ag (0.689, 0.689, 0.689)
Te (0.391, 0.391, 0.391)
Te (0.609, 0.609, 0.609)
Se (0.196, 0.196, 0.196)
Se (0.804, 0.804, 0.804)

***

Er3TiAg3Se8: optimized geometry, PBE.

Formation energy without anion corrections: -16.71 eV per formula unit
Calculated density: 6.65 g/cm3
Crystal system: monoclinic
M_tot: 0.01 μB/f.u.

abc: 8.050 8.050 8.159
angles: 119.71 119.71 59.99
Fractional positions:
Er (0.000, 0.000, 0.000)
Er (0.000, 0.500, 0.000)
Er (0.500, 0.000, 0.000)
Ti (0.500, 0.500, 0.000)
Ag (0.000, 0.500, 0.500)
Ag (0.500, 0.000, 0.500)
Ag (0.500, 0.500, 0.500)
Se (0.249, 0.249, 0.245)
Se (0.267, 0.730, 0.226)
Se (0.270, 0.270, 0.774)
Se (0.270, 0.733, 0.774)
Se (0.730, 0.267, 0.226)
Se (0.730, 0.730, 0.226)
Se (0.733, 0.270, 0.774)
Se (0.751, 0.751, 0.755)

***

ErTl2Ag2Se4: optimized geometry, PBE.

Formation energy without anion corrections: -6.12 eV per formula unit
Calculated density: 7.65 g/cm3
Crystal system: monoclinic
M_tot: 0.00 μB/f.u.

abc: 7.988 7.988 8.047
angles: 108.90 108.90 29.78
Fractional positions:
Er (0.000, 0.000, 0.000)
Tl (0.131, 0.131, 0.567)
Tl (0.869, 0.869, 0.433)
Ag (0.321, 0.321, 0.017)
Ag (0.679, 0.679, 0.983)
Se (0.196, 0.196, 0.203)
Se (0.491, 0.491, 0.243)
Se (0.509, 0.509, 0.757)
Se (0.804, 0.804, 0.797)

***

ErTm2Ag3Se6: optimized geometry, PBE.

Formation energy without anion corrections: -13.86 eV per formula unit
Calculated density: 7.51 g/cm3
Crystal system: monoclinic
M_tot: 0.00 μB/f.u.

abc: 9.067 9.067 8.064
angles: 101.03 101.03 26.31
Fractional positions:
Er (0.000, 0.000, 0.000)
Tm (0.333, 0.333, 0.667)
Tm (0.667, 0.667, 0.333)
Ag (0.000, 0.000, 0.500)
Ag (0.334, 0.334, 0.167)
Ag (0.666, 0.666, 0.833)
Se (0.165, 0.165, 0.088)
Se (0.169, 0.169, 0.578)
Se (0.498, 0.498, 0.753)
Se (0.502, 0.502, 0.247)
Se (0.831, 0.831, 0.422)
Se (0.835, 0.835, 0.912)

***

Er3VAg3Se8: optimized geometry, PBE.

Formation energy without anion corrections: -14.99 eV per formula unit
Calculated density: 6.73 g/cm3
Crystal system: monoclinic
M_tot: 1.13 μB/f.u.

abc: 8.017 8.017 8.144
angles: 119.67 119.67 59.99
Fractional positions:
Er (0.000, 0.000, 0.000)
Er (0.000, 0.500, 0.000)
Er (0.500, 0.000, 0.000)
V (0.500, 0.500, 0.000)
Ag (0.000, 0.500, 0.500)
Ag (0.500, 0.000, 0.500)
Ag (0.500, 0.500, 0.500)
Se (0.249, 0.249, 0.245)
Se (0.270, 0.728, 0.225)
Se (0.272, 0.272, 0.775)
Se (0.272, 0.730, 0.775)
Se (0.728, 0.270, 0.225)
Se (0.728, 0.728, 0.225)
Se (0.730, 0.272, 0.775)
Se (0.751, 0.751, 0.755)

***

YEr2Ag3Se6: optimized geometry, PBE.

Formation energy without anion corrections: -13.96 eV per formula unit
Calculated density: 6.97 g/cm3
Crystal system: monoclinic
M_tot: 0.00 μB/f.u.

abc: 9.084 9.084 8.066
angles: 100.54 100.54 26.42
Fractional positions:
Y (0.000, 0.000, 0.000)
Er (0.333, 0.333, 0.666)
Er (0.667, 0.667, 0.334)
Ag (0.000, 0.000, 0.500)
Ag (0.334, 0.334, 0.165)
Ag (0.666, 0.666, 0.835)
Se (0.166, 0.166, 0.089)
Se (0.169, 0.169, 0.580)
Se (0.498, 0.498, 0.751)
Se (0.502, 0.502, 0.249)
Se (0.831, 0.831, 0.420)
Se (0.834, 0.834, 0.911)

***

ErZrAgSe4: optimized geometry, PBE.

Formation energy without anion corrections: -8.81 eV per formula unit
Calculated density: 5.97 g/cm3
Crystal system: orthorhombic
M_tot: 0.00 μB/f.u.

abc: 8.132 8.132 8.132
angles: 121.12 119.09 89.83
Fractional positions:
Er (0.000, 0.000, 0.000)
Er (0.500, 0.000, 0.500)
Zr (0.500, 0.000, 0.000)
Zr (0.500, 0.500, 0.500)
Ag (0.123, 0.373, 0.750)
Ag (0.877, 0.627, 0.250)
Se (0.265, 0.257, 0.491)
Se (0.265, 0.774, 0.009)
Se (0.270, 0.248, 0.022)
Se (0.274, 0.752, 0.522)
Se (0.726, 0.248, 0.478)
Se (0.730, 0.752, 0.978)
Se (0.735, 0.226, 0.991)
Se (0.735, 0.743, 0.509)

***

Er2SiAg: optimized geometry, PBE.

Formation energy without anion corrections: -1.34 eV per formula unit
Calculated density: 7.63 g/cm3
Crystal system: trigonal
M_tot: 0.00 μB/f.u.

abc: 7.010 7.010 7.010
angles: 35.22 35.22 35.22
Fractional positions:
Er (0.241, 0.241, 0.241)
Er (0.759, 0.759, 0.759)
Si (0.500, 0.500, 0.500)
Ag (0.000, 0.000, 0.000)